Entry 1:
## BaAlCu2 (PBE-GGA)

Data for a relaxed BaAlCu2 crystal.

crystal system	orthorhombic
space group	Pmm2 (25)
volume	20.7	Å³ per atom
ρ	5.8	g cm⁻³
calculated formation energy	0.5	eV per formula unit
total moment	0.00	μB/cell

a = 3.245 Å, b = 3.389 Å, c = 7.528 Å
α = 90.00°, β = 90.00°, γ = 90.00°
Atoms (fractional coordinates):
Cu 0.000 0.000 0.084
Cu 0.500 0.500 0.240
Ba 0.500 0.500 0.764
Al 0.000 0.000 0.411



Entry 2:
## BaAl2Cu (PBE-GGA)

Data for a relaxed BaAl2Cu crystal.

crystal system	tetragonal
space group	P4mm (99)
volume	22.3	Å³ per atom
ρ	4.7	g cm⁻³
calculated formation energy	0.1	eV per formula unit
total moment	0.00	μB/cell

a = 3.400 Å, b = 3.400 Å, c = 7.729 Å
α = 90.00°, β = 90.00°, γ = 89.98°
Atoms (fractional coordinates):
Cu 0.500 0.500 0.842
Al 0.000 0.000 0.968
Al 0.500 0.500 0.178
Ba 0.000 0.000 0.512



Entry 3:
## Ba3Al9Cu2 (PBE-GGA)

Data for a relaxed Ba3Al9Cu2 crystal.

crystal system	orthorhombic
space group	Immm (71)
volume	23.6	Å³ per atom
ρ	3.9	g cm⁻³
calculated formation energy	-2.5	eV per formula unit
total moment	0.00	μB/cell

a = 4.359 Å, b = 8.989 Å, c = 8.989 Å
α = 83.19°, β = 75.97°, γ = 75.97°
Atoms (fractional coordinates):
Al 0.107 0.193 0.593
Al 0.893 0.807 0.407
Al 0.107 0.593 0.193
Al 0.319 0.372 0.989
Al 0.681 0.011 0.628
Al 0.319 0.989 0.372
Al 0.893 0.407 0.807
Al 0.000 0.500 0.500
Al 0.681 0.628 0.011
Cu 0.500 0.713 0.287
Cu 0.500 0.287 0.713
Ba 0.706 0.294 0.294
Ba 0.000 0.000 0.000
Ba 0.294 0.706 0.706



Entry 4:
## BaAl3Cu (PBE-GGA)

Data for a relaxed BaAl3Cu crystal.

crystal system	cubic
space group	Pm-3m (221)
volume	23.2	Å³ per atom
ρ	4.0	g cm⁻³
calculated formation energy	0.2	eV per formula unit
total moment	0.00	μB/cell

a = 4.878 Å, b = 4.878 Å, c = 4.878 Å
α = 90.00°, β = 90.00°, γ = 90.00°
Atoms (fractional coordinates):
Cu 0.000 0.000 0.000
Al 0.000 0.000 0.500
Al 0.000 0.500 0.000
Al 0.500 0.000 0.000
Ba 0.500 0.500 0.500



Entry 5:
## BaAl2Cu (PBE-GGA)

Data for a relaxed BaAl2Cu crystal.

crystal system	trigonal
space group	R-3m (166)
volume	25.0	Å³ per atom
ρ	4.2	g cm⁻³
calculated formation energy	-0.8	eV per formula unit
total moment	0.00	μB/cell

a = 4.306 Å, b = 4.306 Å, c = 6.712 Å
α = 71.28°, β = 71.28°, γ = 60.04°
Atoms (fractional coordinates):
Al 0.947 0.947 0.160
Al 0.553 0.553 0.340
Ba 0.750 0.750 0.750
Cu 0.250 0.250 0.250



Entry 6:
## BaAl2Cu (PBE-GGA)

Data for a relaxed BaAl2Cu crystal.

crystal system	monoclinic
space group	C2/m (12)
volume	24.0	Å³ per atom
ρ	4.4	g cm⁻³
calculated formation energy	1.6	eV per formula unit
total moment	0.00	μB/cell

a = 5.306 Å, b = 6.402 Å, c = 3.198 Å
α = 78.40°, β = 83.25°, γ = 112.64°
Atoms (fractional coordinates):
Al 0.000 0.000 0.000
Al 0.500 0.000 0.500
Ba 0.000 0.500 0.500
Cu 0.500 0.500 0.000